Below is crystalline La3Te4 at its relaxed geometry, with properties calculated at the GGA-PBE level.

Cell lengths 9.6797, 9.6797, 9.6797 Å; angles 90.00, 90.00, 90.00 degrees
With the nearest neighbours (Å) after each atom.
Space group I-43d (No. 220)
Inequivalent atoms, fractional coordinates:
1 La 0.0000 0.2500 0.3750 (multiplicity 12)  8 Te 3.28-3.43
2 Te 0.0762 0.0762 0.0762 (multiplicity 16)  6 La 3.28-3.43

formation energy from raw total energies	-1607	meV/atom
spin magnetization	0.00	μB/f.u.
electronic total energy	-154.4	eV/cell
Fermi-level density of states	0.85	states/eV/atom